DFT (PBE-GGA) results for crystalline Sr2TcW at its relaxed geometry.

a b c (Å): 5.7346 10.7473 2.8822
angles (deg): 90.00 90.00 90.00
Space group Cmmm (No. 65)
Symmetry-distinct sites (fractional):
Sr1 0.2500 0.2500 0.0000 (multiplicity 4)
Tc1 0.0000 0.0000 0.5000 (multiplicity 2)
W1 0.0000 0.5000 0.5000 (multiplicity 2)

total energy	-5.409	eV per atom

---

DFT (PBE-GGA) results for crystalline Sr2TcW at its relaxed geometry.

a b c (Å): 11.7466 11.7466 4.6097
angles (deg): 90.00 90.00 90.00
Space group I-42d (No. 122)
Symmetry-distinct sites (fractional):
Sr1 0.0757 0.2500 0.1250 (multiplicity 8)
Tc1 0.0000 0.0000 0.0000 (multiplicity 4)
W1 0.0000 0.0000 0.5000 (multiplicity 4)

total energy	-5.483	eV per atom

---

DFT (PBE-GGA) results for crystalline SrTc2W at its relaxed geometry.

a b c (Å): 3.0480 5.0305 9.8269
angles (deg): 90.00 90.00 90.00
Space group Imm2 (No. 44)
Symmetry-distinct sites (fractional):
Sr1 0.0000 0.0000 0.0000 (multiplicity 2)
Tc1 0.0000 0.0000 0.4983 (multiplicity 2)
Tc2 0.0000 0.5000 0.2187 (multiplicity 2)
W1 0.0000 0.5000 0.7866 (multiplicity 2)

total energy	-7.968	eV per atom

---

DFT (PBE-GGA) results for crystalline SrZrTcW2 at its relaxed geometry.

a b c (Å): 4.8110 4.8110 5.1582
angles (deg): 90.00 90.00 90.00
Space group P4/mmm (No. 123)
Symmetry-distinct sites (fractional):
Sr1 0.0000 0.0000 0.0000 (multiplicity 1)
Zr1 0.5000 0.5000 0.0000 (multiplicity 1)
Tc1 0.0000 0.0000 0.5000 (multiplicity 1)
W1 0.0000 0.5000 0.5000 (multiplicity 2)

total energy	-7.729	eV per atom

---

DFT (PBE-GGA) results for crystalline SrY2Tc2 at its relaxed geometry.

a b c (Å): 8.4123 8.4123 3.6330
angles (deg): 90.00 90.00 90.00
Space group P4/mbm (No. 127)
Symmetry-distinct sites (fractional):
Sr1 0.0000 0.0000 0.0000 (multiplicity 2)
Y1 0.1777 0.3223 0.5000 (multiplicity 4)
Tc1 0.0976 0.5976 0.0000 (multiplicity 4)

total energy	-6.775	eV per atom

---

DFT (PBE-GGA) results for crystalline SrY2Tc at its relaxed geometry.

a b c (Å): 4.9327 4.9327 4.4149
angles (deg): 90.00 90.00 90.00
Space group P4/mmm (No. 123)
Symmetry-distinct sites (fractional):
Sr1 0.0000 0.0000 0.0000 (multiplicity 1)
Y1 0.0000 0.5000 0.5000 (multiplicity 2)
Tc1 0.5000 0.5000 0.0000 (multiplicity 1)

total energy	-5.707	eV per atom

---

DFT (PBE-GGA) results for crystalline SrY2Tc at its relaxed geometry.

a b c (Å): 3.7306 3.7306 31.6149
angles (deg): 90.00 90.00 120.00
Space group R-3m (No. 166, hexagonal axes)
Symmetry-distinct sites (fractional):
Sr1 0.0000 0.0000 0.0000 (multiplicity 3)
Y1 0.0000 0.0000 0.2248 (multiplicity 6)
Tc1 0.0000 0.0000 0.5000 (multiplicity 3)

total energy	-5.976	eV per atom

---

DFT (PBE-GGA) results for crystalline SrYTc4 at its relaxed geometry.

a b c (Å): 7.7417 7.7417 7.7417
angles (deg): 90.00 90.00 90.00
Space group F-43m (No. 216)
Symmetry-distinct sites (fractional):
Sr1 0.0000 0.0000 0.0000 (multiplicity 4)
Y1 0.2500 0.2500 0.2500 (multiplicity 4)
Tc1 0.1248 0.1248 0.6248 (multiplicity 16)

total energy	-8.036	eV per atom

---

DFT (PBE-GGA) results for crystalline SrY2Tc at its relaxed geometry.

a b c (Å): 3.6277 6.0236 11.0063
angles (deg): 90.00 90.00 90.00
Space group Immm (No. 71)
Symmetry-distinct sites (fractional):
Sr1 0.0000 0.0000 0.0000 (multiplicity 2)
Y1 0.0000 0.5000 0.1894 (multiplicity 4)
Tc1 0.0000 0.0000 0.5000 (multiplicity 2)

total energy	-5.990	eV per atom

---

DFT (PBE-GGA) results for crystalline SrY2Tc at its relaxed geometry.

a b c (Å): 4.8717 4.8717 9.0490
angles (deg): 90.00 90.00 90.00
Space group I-4m2 (No. 119)
Symmetry-distinct sites (fractional):
Sr1 0.0000 0.0000 0.0000 (multiplicity 2)
Y1 0.0000 0.0000 0.5000 (multiplicity 2)
Y2 0.0000 0.5000 0.2500 (multiplicity 2)
Tc1 0.0000 0.5000 0.7500 (multiplicity 2)

total energy	-5.688	eV per atom

---

DFT (PBE-GGA) results for crystalline SrYTc3 at its relaxed geometry.

a b c (Å): 5.0016 5.0016 5.0016
angles (deg): 90.00 90.00 90.00
Space group Pm-3m (No. 221)
Symmetry-distinct sites (fractional):
Sr1 0.0000 0.0000 0.0000 (multiplicity 1)
Y1 0.5000 0.5000 0.5000 (multiplicity 1)
Tc1 0.0000 0.5000 0.5000 (multiplicity 3)

total energy	-6.077	eV per atom

---

DFT (PBE-GGA) results for crystalline SrY2Tc at its relaxed geometry.

a b c (Å): 4.9819 3.7779 13.4469
angles (deg): 90.00 90.00 90.00
Space group Amm2 (No. 38)
Symmetry-distinct sites (fractional):
Sr1 0.0000 0.0000 0.0000 (multiplicity 2)
Y1 0.0000 0.0000 0.7154 (multiplicity 2)
Y2 0.5000 0.0000 0.3042 (multiplicity 2)
Tc1 0.5000 0.0000 0.6401 (multiplicity 2)

total energy	-5.873	eV per atom

---

DFT (PBE-GGA) results for crystalline SrY4Tc at its relaxed geometry.

a b c (Å): 9.1381 9.1381 9.1381
angles (deg): 90.00 90.00 90.00
Space group F-43m (No. 216)
Symmetry-distinct sites (fractional):
Sr1 0.0000 0.0000 0.0000 (multiplicity 4)
Y1 0.1230 0.1230 0.3770 (multiplicity 16)
Tc1 0.2500 0.2500 0.7500 (multiplicity 4)

total energy	-5.502	eV per atom

---

DFT (PBE-GGA) results for crystalline SrY2Tc at its relaxed geometry.

a b c (Å): 8.9293 4.5283 6.3389
angles (deg): 90.00 114.77 90.00
Space group C2/m (No. 12)
Symmetry-distinct sites (fractional):
Sr1 0.0000 0.0000 0.0000 (multiplicity 2)
Y1 0.2069 0.0000 0.6615 (multiplicity 4)
Tc1 0.0000 0.5000 0.5000 (multiplicity 2)

total energy	-5.955	eV per atom

---

DFT (PBE-GGA) results for crystalline SrY2Tc at its relaxed geometry.

a b c (Å): 6.7461 10.6734 3.3318
angles (deg): 90.00 116.50 90.00
Space group C2/m (No. 12)
Symmetry-distinct sites (fractional):
Sr1 0.0000 0.0000 0.0000 (multiplicity 2)
Y1 0.2500 0.2500 0.5000 (multiplicity 4)
Tc1 0.0000 0.5000 0.0000 (multiplicity 2)

total energy	-5.595	eV per atom

---

DFT (PBE-GGA) results for crystalline SrY2Tc at its relaxed geometry.

a b c (Å): 10.7628 3.9605 6.7373
angles (deg): 90.00 118.16 90.00
Space group Cm (No. 8)
Symmetry-distinct sites (fractional):
Sr1 0.0000 0.0000 0.0000 (multiplicity 2)
Y1 0.1235 0.5000 0.6291 (multiplicity 2)
Y2 0.3170 0.5000 0.3303 (multiplicity 2)
Tc1 0.3069 0.0000 0.5960 (multiplicity 2)

total energy	-5.963	eV per atom

---

DFT (PBE-GGA) results for crystalline SrY2Tc at its relaxed geometry.

a b c (Å): 3.8591 3.8591 8.2381
angles (deg): 90.00 90.00 90.00
Space group P4mm (No. 99)
Symmetry-distinct sites (fractional):
Sr1 0.0000 0.0000 0.0000 (multiplicity 1)
Y1 0.0000 0.0000 0.3969 (multiplicity 1)
Y2 0.5000 0.5000 0.6365 (multiplicity 1)
Tc1 0.5000 0.5000 0.2808 (multiplicity 1)

total energy	-5.950	eV per atom

---

DFT (PBE-GGA) results for crystalline SrY3Tc at its relaxed geometry.

a b c (Å): 5.5170 5.5170 5.5170
angles (deg): 90.00 90.00 90.00
Space group Pm-3m (No. 221)
Symmetry-distinct sites (fractional):
Sr1 0.0000 0.0000 0.0000 (multiplicity 1)
Y1 0.0000 0.5000 0.5000 (multiplicity 3)
Tc1 0.5000 0.5000 0.5000 (multiplicity 1)

total energy	-6.228	eV per atom

---

DFT (PBE-GGA) results for crystalline SrY2Tc at its relaxed geometry.

a b c (Å): 7.4674 7.4674 7.4674
angles (deg): 90.00 90.00 90.00
Space group Fm-3m (No. 225)
Symmetry-distinct sites (fractional):
Sr1 0.0000 0.0000 0.0000 (multiplicity 4)
Y1 0.2500 0.2500 0.2500 (multiplicity 8)
Tc1 0.0000 0.0000 0.5000 (multiplicity 4)

total energy	-5.840	eV per atom

---

DFT (PBE-GGA) results for crystalline SrY2Tc at its relaxed geometry.

a b c (Å): 3.5673 3.5673 32.2407
angles (deg): 90.00 90.00 120.00
Space group R3m (No. 160, hexagonal axes)
Symmetry-distinct sites (fractional):
Sr1 0.0000 0.0000 0.0000 (multiplicity 3)
Y1 0.0000 0.0000 0.5363 (multiplicity 3)
Y2 0.0000 0.0000 0.7738 (multiplicity 3)
Tc1 0.0000 0.0000 0.2620 (multiplicity 3)

total energy	-5.766	eV per atom

---

DFT (PBE-GGA) results for crystalline SrY2Tc at its relaxed geometry.

a b c (Å): 3.5410 3.5410 9.6754
angles (deg): 90.00 90.00 90.00
Space group P4/mmm (No. 123)
Symmetry-distinct sites (fractional):
Sr1 0.0000 0.0000 0.0000 (multiplicity 1)
Y1 0.5000 0.5000 0.3337 (multiplicity 2)
Tc1 0.0000 0.0000 0.5000 (multiplicity 1)

total energy	-6.176	eV per atom

---

DFT (PBE-GGA) results for crystalline SrY2Tc at its relaxed geometry.

a b c (Å): 8.0156 8.0156 11.3612
angles (deg): 90.00 90.00 90.00
Space group I-42d (No. 122)
Symmetry-distinct sites (fractional):
Sr1 0.0000 0.0000 0.0000 (multiplicity 4)
Y1 0.0013 0.2500 0.6250 (multiplicity 8)
Tc1 0.0000 0.0000 0.5000 (multiplicity 4)

total energy	-5.575	eV per atom

---

DFT (PBE-GGA) results for crystalline SrY2Tc at its relaxed geometry.

a b c (Å): 3.5054 4.8724 14.8234
angles (deg): 90.00 90.00 90.00
Space group Imm2 (No. 44)
Symmetry-distinct sites (fractional):
Sr1 0.0000 0.0000 0.0000 (multiplicity 2)
Y1 0.0000 0.0000 0.6689 (multiplicity 2)
Y2 0.0000 0.5000 0.8214 (multiplicity 2)
Tc1 0.0000 0.5000 0.3136 (multiplicity 2)

total energy	-5.951	eV per atom

---

DFT (PBE-GGA) results for crystalline SrYZr2Tc at its relaxed geometry.

a b c (Å): 5.4128 5.4128 4.8833
angles (deg): 90.00 90.00 90.00
Space group P4/mmm (No. 123)
Symmetry-distinct sites (fractional):
Sr1 0.0000 0.0000 0.0000 (multiplicity 1)
Y1 0.5000 0.5000 0.5000 (multiplicity 1)
Zr1 0.0000 0.5000 0.5000 (multiplicity 2)
Tc1 0.5000 0.5000 0.0000 (multiplicity 1)

total energy	-5.840	eV per atom

---

DFT (PBE-GGA) results for crystalline SrZnTc2 at its relaxed geometry.

a b c (Å): 2.7556 2.7556 9.3407
angles (deg): 90.00 90.00 90.00
Space group P4/mmm (No. 123)
Symmetry-distinct sites (fractional):
Sr1 0.0000 0.0000 0.0000 (multiplicity 1)
Zn1 0.0000 0.0000 0.5000 (multiplicity 1)
Tc1 0.5000 0.5000 0.2889 (multiplicity 2)

total energy	-5.176	eV per atom

---

DFT (PBE-GGA) results for crystalline SrZnTc2 at its relaxed geometry.

a b c (Å): 4.2897 4.2897 17.3284
angles (deg): 90.00 90.00 120.00
Space group R3m (No. 160, hexagonal axes)
Symmetry-distinct sites (fractional):
Sr1 0.0000 0.0000 0.0000 (multiplicity 3)
Zn1 0.0000 0.0000 0.8004 (multiplicity 3)
Tc1 0.0000 0.0000 0.1949 (multiplicity 3)
Tc2 0.0000 0.0000 0.5188 (multiplicity 3)

total energy	-5.790	eV per atom

---

DFT (PBE-GGA) results for crystalline Sr2ZnTc at its relaxed geometry.

a b c (Å): 4.5726 4.5726 20.7683
angles (deg): 90.00 90.00 90.00
Space group I-42d (No. 122)
Symmetry-distinct sites (fractional):
Sr1 0.2448 0.2500 0.1250 (multiplicity 8)
Zn1 0.0000 0.0000 0.5000 (multiplicity 4)
Tc1 0.0000 0.0000 0.0000 (multiplicity 4)

total energy	-2.717	eV per atom

---

DFT (PBE-GGA) results for crystalline SrZnTc2 at its relaxed geometry.

a b c (Å): 3.6694 4.7107 5.4927
angles (deg): 90.00 102.43 90.00
Space group P2/m (No. 10)
Symmetry-distinct sites (fractional):
Sr1 0.0000 0.0000 0.0000 (multiplicity 1)
Zn1 0.5000 0.0000 0.5000 (multiplicity 1)
Tc1 0.2939 0.5000 0.6339 (multiplicity 2)

total energy	-5.393	eV per atom

---

DFT (PBE-GGA) results for crystalline SrZnTc2 at its relaxed geometry.

a b c (Å): 3.3224 4.5545 4.8793
angles (deg): 90.00 90.00 90.00
Space group Pmmm (No. 47)
Symmetry-distinct sites (fractional):
Sr1 0.0000 0.0000 0.0000 (multiplicity 1)
Zn1 0.5000 0.5000 0.0000 (multiplicity 1)
Tc1 0.0000 0.5000 0.5000 (multiplicity 1)
Tc2 0.5000 0.0000 0.5000 (multiplicity 1)

total energy	-5.126	eV per atom